KLuMo2O8: optimized geometry, PBE+U.

The structure in CIF format:
```
data_KLuMo2O8
_cell_length_a 5.9740
_cell_length_b 5.9740
_cell_length_c 7.4898
_cell_angle_alpha 90.00
_cell_angle_beta 90.00
_cell_angle_gamma 120.00
_symmetry_space_group_name_H-M 'P -3 m 1'
_symmetry_Int_Tables_number 164
_symmetry_space_group_name_Hall '-P 3 2"'
loop_
_atom_site_label
_atom_site_type_symbol
_atom_site_fract_x
_atom_site_fract_y
_atom_site_fract_z
K1 K 0.0000 0.0000 0.0000
Lu1 Lu 0.0000 0.0000 0.5000
Mo1 Mo 0.3333 0.6667 0.7564
O1 O 0.1672 0.3345 0.6797
O2 O 0.3333 0.6667 0.9898
```

Summary:
D(E_F) = 0.00 states/eV per cell
V = 231 Å³/cell
Mass density = 3.8 Mg/m³
Uncorrected energy = -7.155 eV/atom